(1)
AgRuCl2: relaxed, PBE-GGA.

```
4
Lattice="-4.1038 0.9823 -2.0147 0.0603 -2.9637 -1.5679 -2.2194 -4.6666 2.2455" Properties=species:S:1:pos:R:3 pbc="T T T"
Ru -0.9270 -3.1974 0.3293
Ag -3.7879 -4.9533 -0.1259
Cl -2.0843 -4.5875 2.0088
Cl -2.7627 -2.3916 -0.9650
```

Properties
- mass density (g/cm³) = 6.24
- N(E_F) (states/eV/cell) = 2.861
- excess energy over the best structure of this formula in the dataset (eV per formula unit) = 1.15
- E_form (uncorrected) (kJ/mol of atoms) = 28
- energy (eV/atom) = -3.67



(2)
Ag3RuCl: relaxed, PBE-GGA.

```
5
Lattice="-2.8850 -0.7582 -4.1884 -1.2977 -4.6623 1.7379 -4.0539 2.0321 2.4244" Properties=species:S:1:pos:R:3 pbc="T T T"
Ru 0.0000 0.0000 0.0000
Ag -0.6488 -2.3311 0.8689
Ag -2.0269 1.0160 1.2122
Ag -1.4425 -0.3791 -2.0942
Cl -4.1183 -1.6942 -0.0131
```

Properties
- mass density (g/cm³) = 5.62
- N(E_F) (states/eV/cell) = 1.998
- excess energy over the best structure of this formula in the dataset (eV per formula unit) = 0.00
- E_form (uncorrected) (kJ/mol of atoms) = 109
- energy (eV/atom) = -2.80



(3)
AgRu2Cl: relaxed, PBE-GGA.

```
4
Lattice="-2.6301 0.9539 -0.6955 0.1082 -1.4965 -2.4616 -3.2957 -6.3691 3.7271" Properties=species:S:1:pos:R:3 pbc="T T T"
Ag -1.5467 -2.9892 1.7492
Cl -3.8956 -5.3629 1.4010
Ru -0.0619 -0.1196 0.0700
Ru -1.9612 -1.6246 -0.7866
```

Properties
- mass density (g/cm³) = 8.54
- N(E_F) (states/eV/cell) = 4.105
- excess energy over the best structure of this formula in the dataset (eV per formula unit) = 0.23
- E_form (uncorrected) (kJ/mol of atoms) = 28
- energy (eV/atom) = -5.52



(4)
AgRu2Cl: relaxed, PBE-GGA.

```
4
Lattice="-3.8448 2.7078 3.0309 -4.9799 1.5406 -2.0316 3.3793 -4.4507 0.2684" Properties=species:S:1:pos:R:3 pbc="T T T"
Ag -3.0065 -0.3930 -0.6318
Cl -2.4389 0.1906 1.8995
Ru 0.0000 0.0000 0.0000
Ru -4.4124 2.1242 0.4996
```

Properties
- mass density (g/cm³) = 8.24
- N(E_F) (states/eV/cell) = 4.018
- excess energy over the best structure of this formula in the dataset (eV per formula unit) = 3.37
- E_form (uncorrected) (kJ/mol of atoms) = 103
- energy (eV/atom) = -4.74



(5)
Ag3RuCl6: relaxed, PBE-GGA.

```
20
Lattice="6.6592 0.0000 -0.1139 0.0000 6.6414 0.0000 -0.0806 0.0000 10.1310" Properties=species:S:1:pos:R:3 pbc="T T T"
Ag 3.2961 6.3236 7.6590
Ag 3.3296 3.3207 -0.0569
Ag 3.2825 0.3178 2.3581
Ag 0.0068 3.6385 2.6505
Ag -0.0403 0.0000 5.0655
Ag 6.5718 3.0029 7.3666
Ru 3.2893 3.3207 5.0086
Ru 0.0000 0.0000 0.0000
Cl 4.5490 1.1339 9.5125
Cl 4.3206 1.3372 5.8309
Cl 4.0854 2.7777 2.8289
Cl 2.4933 3.8637 7.1883
Cl 2.2580 5.3043 4.1862
Cl 2.0296 5.5075 0.5046
Cl 1.2597 2.1868 4.5040
Cl 1.0313 1.9835 0.8224
Cl 0.7155 0.5430 7.9513
Cl 5.8632 6.0984 2.0658
Cl 5.5474 4.6579 9.1947
Cl 5.3189 4.4546 5.5132
```

Properties
- mass density (g/cm³) = 4.73
- N(E_F) (states/eV/cell) = 14.061
- E_form (uncorrected) (kJ/mol of atoms) = -42
- energy (eV/atom) = -3.32



(6)
AgRuCl2: relaxed, PBE-GGA.

```
4
Lattice="0.0000 3.3416 3.3416 3.3416 0.0000 3.3416 3.3416 3.3416 0.0000" Properties=species:S:1:pos:R:3 pbc="T T T"
Ru 0.0000 0.0000 0.0000
Ag 3.3416 3.3416 3.3416
Cl 1.6708 1.6708 1.6708
Cl 5.0125 5.0125 5.0125
```

Properties
- mass density (g/cm³) = 6.23
- N(E_F) (states/eV/cell) = 0.463
- excess energy over the best structure of this formula in the dataset (eV per formula unit) = 1.73
- E_form (uncorrected) (kJ/mol of atoms) = 42
- energy (eV/atom) = -3.52